No. 1
This record from Alexandria via LeMat-Bulk describes an optimized crystal structure of Dy3Si4Pt. The functional is PBE.

Space-group type: Immm, No. 71
Final energy: -47.336 eV/f.u.
Density of states at the Fermi level: 3.668 states/eV/cell
Crystal system: orthorhombic

Geometry as POSCAR:
```
Dy3Si4Pt
1.0
4.2830 0.0000 0.0000
0.0000 5.6597 0.0000
-2.1415 -2.8298 7.2209
Si Dy Pt
4 3 1
Cartesian
0.0000 1.1694 5.4653 Si
2.1415 1.6604 1.7556 Si
0.0000 -1.1694 5.4653 Si
2.1415 3.9993 1.7556 Si
0.0000 0.0000 2.7738 Dy
2.1415 2.8298 4.4472 Dy
0.0000 2.8298 0.0000 Dy
2.1415 0.0000 0.0000 Pt
```

No. 2
This record from Alexandria via LeMat-Bulk describes an optimized crystal structure of Re2NiRh. The functional is PBE.

Space-group type: Cm, No. 8
Excess energy over the best structure of this formula in the dataset: 90 meV per atom
Density of states at the Fermi level: 3.466 states/eV/cell
Crystal system: monoclinic

Geometry as POSCAR:
```
Re2NiRh
1.0
4.6354 -0.0001 -0.0061
3.8686 2.5535 -0.0061
0.6852 0.2058 4.6877
Re Rh Ni
2 1 1
Cartesian
8.4941 2.5505 0.0455 Re
6.9092 2.0746 3.4923 Re
4.5602 1.3693 2.3151 Rh
2.3245 0.6980 1.1483 Ni
```

No. 3
This record from Alexandria via LeMat-Bulk describes an optimized crystal structure of Mn2MoRh. The functional is PBE.

Space-group type: Cmmm, No. 65
Final energy: -36.143 eV/f.u.
Density of states at the Fermi level: 5.224 states/eV/cell
Crystal system: orthorhombic

Geometry as POSCAR:
```
Mn2MoRh
1.0
4.5271 0.0597 0.0002
-1.3488 4.3219 0.0002
-0.0001 -0.0001 2.7145
Mo Mn Rh
1 2 1
Cartesian
2.2635 0.0298 1.3573 Mo
0.0000 0.0000 0.0000 Mn
1.5892 2.1908 0.0002 Mn
-0.6744 2.1609 1.3573 Rh
```

No. 4
This record from Alexandria via LeMat-Bulk describes an optimized crystal structure of CsAgHg2F8. The functional is PBE.

Space-group type: P-1, No. 2
Final energy: -37.776 eV/f.u.
Crystal system: triclinic

Geometry as POSCAR:
```
CsAgHg2F8
1.0
-3.0852 0.9878 3.9001
2.2148 -4.2304 3.2565
5.8222 4.6787 3.6605
F Hg Ag Cs
8 2 1 1
Cartesian
1.6179 1.2384 4.3081 F
0.0145 -2.4897 4.6887 F
6.4056 0.7592 5.8430 F
4.9374 3.9259 6.1284 F
3.3339 0.1978 6.5090 F
2.3387 3.7204 7.4285 F
2.6132 -2.2842 3.3887 F
-1.4538 0.6770 4.9741 F
0.7770 -0.6092 4.4308 Hg
4.1749 2.0454 6.3864 Hg
0.0000 0.0000 0.0000 Ag
2.9111 2.3394 1.8303 Cs
```

No. 5
This record from Alexandria via LeMat-Bulk describes an optimized crystal structure of Nd3TlSb. The functional is PBE.

Space-group type: C2/c, No. 15
Final energy: -23.247 eV/f.u.
Density of states at the Fermi level: 20.563 states/eV/cell
Crystal system: monoclinic

Geometry as POSCAR:
```
Nd3TlSb
1.0
-5.1408 1.2272 -0.0094
-4.7291 -8.4214 -6.2973
-3.9585 -5.0715 9.5681
Tl Nd Sb
4 12 4
Cartesian
-5.3010 -5.0141 8.3848 Tl
-8.5273 -7.2516 -5.1233 Tl
-5.8198 -7.2691 -2.2954 Tl
-8.0086 -4.9966 5.5568 Tl
-1.7034 -1.4322 1.7291 Nd
-5.2643 -4.9749 0.0057 Nd
-8.8274 -8.4746 -2.0148 Nd
-5.8642 -7.3809 6.0762 Nd
-5.0010 -3.7910 5.2763 Nd
-6.1144 -8.4289 0.7763 Nd
-7.7140 -3.8367 2.4852 Nd
-4.3985 -1.3606 -0.8430 Nd
-12.1250 -10.8335 1.5324 Nd
-7.9642 -4.8848 -2.8147 Nd
-8.5641 -7.2908 3.2557 Nd
-9.4299 -10.9050 4.1045 Nd
-4.7085 -2.6310 2.3707 Sb
-9.1199 -9.6346 0.8907 Sb
-6.4023 -9.6083 3.9262 Sb
-7.4261 -2.6573 -0.6648 Sb
```

No. 6
This record from Alexandria via LeMat-Bulk describes an optimized crystal structure of Tl2Cd2Hg4Pb3. The functional is PBE.

Space-group type: P-3m1, No. 164
Final energy: -18.372 eV/f.u.
Density of states at the Fermi level: 4.675 states/eV/cell
Crystal system: trigonal

Geometry as POSCAR:
```
Tl2Cd2Hg4Pb3
1.0
-0.7942 0.4898 5.2470
4.3483 -2.4894 -1.8159
6.4126 11.2598 -0.0805
Pb Tl Hg Cd
3 2 4 2
Cartesian
0.0000 0.0000 0.0000 Pb
4.7726 8.3801 -0.0599 Pb
1.6400 2.8797 -0.0206 Pb
6.5033 5.2976 0.4899 Tl
3.4633 3.9627 2.8608 Tl
5.0416 6.7339 2.8410 Hg
8.2236 8.3183 0.4683 Hg
4.9251 2.5264 0.5097 Hg
1.7430 0.9420 2.8824 Hg
6.5705 9.4185 2.8218 Cd
3.3962 -0.1582 0.5288 Cd
```